1.
First-principles (PBE) data for Dy2InPd after structural relaxation, as listed in the Alexandria database.

a b c (Å): 3.522 3.522 7.770
angles (deg): 90.00 90.00 90.00
Atoms (fractional coordinates):
In1 0.500 0.500 0.500
Dy1 0.000 0.000 0.224
Pd1 0.500 0.500 0.000
Dy2 0.000 0.000 0.776

=====

2.
First-principles (PBE) data for DyInPd after structural relaxation, as listed in the Alexandria database.

a b c (Å): 4.589 4.589 7.531
angles (deg): 107.74 107.74 90.00
Atoms (fractional coordinates):
Dy1 0.856 0.856 0.712
In1 0.620 0.620 0.240
Pd1 0.000 0.500 0.000
Dy2 0.144 0.144 0.288
In2 0.380 0.380 0.760
Pd2 0.500 0.000 0.000

=====

3.
First-principles (PBE) data for Dy6InPd after structural relaxation, as listed in the Alexandria database.

a b c (Å): 6.791 6.791 6.775
angles (deg): 103.01 103.01 118.91
Atoms (fractional coordinates):
Dy1 0.075 0.482 0.255
Dy2 0.925 0.518 0.745
In1 0.000 0.000 0.000
Dy3 0.730 0.730 0.273
Pd1 0.500 0.500 0.500
Dy4 0.270 0.270 0.727
Dy5 0.518 0.925 0.745
Dy6 0.482 0.075 0.255

=====

4.
First-principles (PBE) data for DyIn2Pd after structural relaxation, as listed in the Alexandria database.

a b c (Å): 3.422 3.422 7.507
angles (deg): 90.00 90.00 90.00
Site moments in Bohr magnetons follow the coordinates.
Atoms (fractional coordinates):
In1 0.000 0.000 0.208  0.00
In2 0.000 0.000 0.792  0.00
Dy1 0.500 0.500 0.500  0.27
Pd1 0.500 0.500 0.000  0.00

=====

5.
First-principles (PBE) data for Dy2InPd after structural relaxation, as listed in the Alexandria database.

a b c (Å): 3.787 3.787 8.839
angles (deg): 77.63 77.63 60.00
Atoms (fractional coordinates):
In1 0.500 0.500 0.500
Dy1 0.262 0.262 0.214
Dy2 0.738 0.738 0.786
Pd1 0.000 0.000 0.000

=====

6.
First-principles (PBE) data for Dy5In2Pd2 after structural relaxation, as listed in the Alexandria database.

a b c (Å): 7.197 8.558 8.877
angles (deg): 118.82 90.00 90.00
Atoms (fractional coordinates):
Dy1 0.155 0.441 0.246
Pd1 0.634 0.878 0.000
Dy2 0.500 0.500 0.000
In1 0.000 0.788 0.576
In2 0.500 0.288 0.576
Dy3 0.155 0.195 0.754
In3 0.500 0.712 0.424
Dy4 0.655 0.059 0.754
Dy5 0.845 0.559 0.754
Dy6 0.000 0.000 0.000
Pd2 0.366 0.122 0.000
Dy7 0.345 0.941 0.246
In4 0.000 0.212 0.424
Dy8 0.845 0.805 0.246
Pd3 0.134 0.622 0.000
Dy9 0.345 0.695 0.754
Pd4 0.866 0.378 0.000
Dy10 0.655 0.305 0.246

=====

7.
First-principles (PBE) data for Dy4InPd after structural relaxation, as listed in the Alexandria database.

a b c (Å): 9.724 9.724 9.724
angles (deg): 60.00 60.00 60.00
Atoms (fractional coordinates):
Dy1 0.814 0.814 0.186
In1 0.167 0.167 0.167
Dy2 0.939 0.561 0.939
Dy3 0.939 0.939 0.561
In2 0.167 0.500 0.167
Dy4 0.561 0.939 0.939
Dy5 0.808 0.397 0.397
Dy6 0.186 0.814 0.186
Dy7 0.561 0.939 0.561
Dy8 0.397 0.397 0.397
Dy9 0.939 0.561 0.561
Pd1 0.606 0.183 0.606
Pd2 0.606 0.606 0.606
Dy10 0.186 0.186 0.814
Dy11 0.397 0.397 0.808
Dy12 0.561 0.561 0.939
Dy13 0.814 0.186 0.186
In3 0.500 0.167 0.167
Dy14 0.814 0.186 0.814
In4 0.167 0.167 0.500
Dy15 0.186 0.814 0.814
Pd3 0.183 0.606 0.606
Pd4 0.606 0.606 0.183
Dy16 0.397 0.808 0.397

=====

8.
First-principles (PBE) data for DyIn3Pd3 after structural relaxation, as listed in the Alexandria database.

a b c (Å): 7.249 7.249 7.249
angles (deg): 90.00 90.00 90.00
Atoms (fractional coordinates):
In1 0.750 0.000 0.500
In2 0.500 0.250 0.000
In3 0.000 0.500 0.750
In4 0.000 0.500 0.250
Pd1 0.750 0.500 0.000
Dy1 0.500 0.500 0.500
Pd2 0.250 0.500 0.000
Pd3 0.500 0.000 0.250
In5 0.250 0.000 0.500
Pd4 0.500 0.000 0.750
Pd5 0.000 0.250 0.500
Pd6 0.000 0.750 0.500
In6 0.500 0.750 0.000
Dy2 0.000 0.000 0.000

=====

9.
First-principles (PBE) data for DyIn8Pd2 after structural relaxation, as listed in the Alexandria database.

a b c (Å): 5.098 7.569 7.569
angles (deg): 109.94 97.16 97.16
Atoms (fractional coordinates):
In1 0.098 0.074 0.328
In2 0.685 0.379 0.379
Dy1 0.500 0.000 0.000
In3 0.098 0.328 0.074
In4 0.500 0.254 0.746
In5 0.315 0.621 0.621
In6 0.500 0.746 0.254
Pd1 0.000 0.681 0.319
Pd2 0.000 0.319 0.681
In7 0.902 0.926 0.672
In8 0.902 0.672 0.926

=====

10.
First-principles (PBE) data for Dy8InPd2 after structural relaxation, as listed in the Alexandria database.

a b c (Å): 5.446 8.088 8.088
angles (deg): 114.93 98.56 98.56
Atoms (fractional coordinates):
Dy1 0.500 0.758 0.242
Dy2 0.308 0.607 0.607
Pd1 0.000 0.304 0.696
Dy3 0.922 0.918 0.671
Dy4 0.692 0.393 0.393
Dy5 0.500 0.242 0.758
Pd2 0.000 0.696 0.304
In1 0.500 0.000 0.000
Dy6 0.078 0.329 0.082
Dy7 0.078 0.082 0.329
Dy8 0.922 0.671 0.918

=====

11.
First-principles (PBE) data for Dy5InPd4 after structural relaxation, as listed in the Alexandria database.

a b c (Å): 3.552 3.552 17.937
angles (deg): 90.00 90.00 90.00
Atoms (fractional coordinates):
Dy1 0.500 0.500 0.500
In1 0.000 0.000 0.000
Pd1 0.000 0.000 0.791
Dy2 0.500 0.500 0.308
Dy3 0.500 0.500 0.692
Pd2 0.000 0.000 0.404
Dy4 0.500 0.500 0.883
Dy5 0.500 0.500 0.117
Pd3 0.000 0.000 0.596
Pd4 0.000 0.000 0.209

=====

12.
First-principles (PBE) data for DyInPd3 after structural relaxation, as listed in the Alexandria database.

a b c (Å): 5.605 9.105 7.780
angles (deg): 90.00 90.00 90.00
Atoms (fractional coordinates):
Pd1 0.255 0.252 0.064
Pd2 0.755 0.248 0.436
Dy1 0.503 0.492 0.250
Pd3 0.993 0.702 0.250
In1 0.000 0.500 0.000
Pd4 0.245 0.752 0.564
Pd5 0.745 0.748 0.936
Dy2 0.003 0.008 0.250
In2 0.000 0.500 0.500
Dy3 0.997 0.992 0.750
Pd6 0.507 0.202 0.750
In3 0.500 0.000 0.500
Pd7 0.007 0.298 0.750
Pd8 0.255 0.252 0.436
Pd9 0.745 0.748 0.564
Pd10 0.755 0.248 0.064
Pd11 0.493 0.798 0.250
In4 0.500 0.000 0.000
Pd12 0.245 0.752 0.936
Dy4 0.497 0.508 0.750

=====

13.
First-principles (PBE) data for DyIn2Pd9 after structural relaxation, as listed in the Alexandria database.

a b c (Å): 4.068 4.068 12.208
angles (deg): 90.00 90.00 90.00
Atoms (fractional coordinates):
Pd1 0.000 0.500 0.828
Pd2 0.500 0.500 0.000
Pd3 0.500 0.000 0.500
Dy1 0.000 0.000 0.000
Pd4 0.000 0.500 0.500
In1 0.000 0.000 0.338
Pd5 0.000 0.500 0.172
Pd6 0.500 0.500 0.334
Pd7 0.500 0.500 0.666
Pd8 0.500 0.000 0.828
In2 0.000 0.000 0.662
Pd9 0.500 0.000 0.172

=====

14.
First-principles (PBE) data for Dy2In2Pd5 after structural relaxation, as listed in the Alexandria database.

a b c (Å): 6.200 8.464 8.695
angles (deg): 119.13 110.89 90.00
Atoms (fractional coordinates):
In1 0.273 0.367 0.500
Pd1 0.734 0.834 0.103
Pd2 0.131 0.231 0.897
Pd3 0.942 0.586 0.500
Pd4 0.058 0.086 0.500
In2 0.727 0.867 0.500
Dy1 0.903 0.448 0.748
Pd5 0.378 0.989 0.299
In3 0.000 0.990 0.000
Pd6 0.579 0.190 0.701
Dy2 0.097 0.700 0.252
In4 0.500 0.490 0.000
Pd7 0.421 0.489 0.299
Pd8 0.869 0.334 0.103
Pd9 0.622 0.690 0.701
Dy3 0.345 0.948 0.748
Pd10 0.266 0.731 0.897
Dy4 0.655 0.200 0.252

=====

15.
First-principles (PBE) data for DyInPd2 after structural relaxation, as listed in the Alexandria database.

a b c (Å): 4.806 4.806 4.806
angles (deg): 59.93 59.93 59.93
Atoms (fractional coordinates):
Pd1 0.000 0.000 0.000
In1 0.750 0.750 0.750
Dy1 0.250 0.250 0.250
Pd2 0.500 0.500 0.500

=====

16.
First-principles (PBE) data for DyIn2Pd after structural relaxation, as listed in the Alexandria database.

a b c (Å): 4.601 4.601 5.701
angles (deg): 66.20 66.20 60.00
Atoms (fractional coordinates):
Pd1 0.500 0.500 0.500
In1 0.224 0.224 0.328
Dy1 0.000 0.000 0.000
In2 0.776 0.776 0.672

=====

17.
First-principles (PBE) data for Dy5InPd after structural relaxation, as listed in the Alexandria database.

a b c (Å): 5.856 5.856 11.837
angles (deg): 79.07 79.07 84.16
Atoms (fractional coordinates):
Dy1 0.078 0.431 0.874
Dy2 0.431 0.078 0.374
Dy3 0.518 0.221 0.067
In1 0.391 0.609 0.250
Dy4 0.779 0.482 0.433
Pd1 0.000 0.000 0.000
Dy5 0.482 0.779 0.933
Dy6 0.992 0.008 0.250
Dy7 0.922 0.569 0.126
Dy8 0.221 0.518 0.567
Pd2 0.000 0.000 0.500
Dy9 0.569 0.922 0.626
In2 0.609 0.391 0.750
Dy10 0.008 0.992 0.750

=====

18.
First-principles (PBE) data for Dy3In2Pd after structural relaxation, as listed in the Alexandria database.

a b c (Å): 3.547 3.547 11.852
angles (deg): 90.00 90.00 90.00
Atoms (fractional coordinates):
In1 0.500 0.500 0.176
Dy1 0.000 0.000 0.645
Dy2 0.000 0.000 0.355
In2 0.500 0.500 0.824
Pd1 0.500 0.500 0.500
Dy3 0.000 0.000 0.000

=====

19.
First-principles (PBE) data for DyIn3Pd after structural relaxation, as listed in the Alexandria database.

a b c (Å): 4.530 7.354 7.184
angles (deg): 90.00 90.00 90.00
Atoms (fractional coordinates):
Pd1 0.250 0.250 0.555
In1 0.750 0.453 0.688
In2 0.250 0.547 0.312
In3 0.250 0.250 0.937
Pd2 0.750 0.750 0.445
Dy1 0.750 0.250 0.252
In4 0.750 0.047 0.688
In5 0.750 0.750 0.063
Dy2 0.250 0.750 0.748
In6 0.250 0.953 0.312

=====

20.
First-principles (PBE) data for PrDyInPd after structural relaxation, as listed in the Alexandria database.

a b c (Å): 5.267 5.267 5.267
angles (deg): 60.00 60.00 60.00
Atoms (fractional coordinates):
Dy1 0.500 0.500 0.500
Pd1 0.750 0.750 0.750
In1 0.250 0.250 0.250
Pr1 0.000 0.000 0.000

=====

In order of appearance, DFT formation energy = -66.1, -60.9, -7.4, -47.9, -49.1, -54.0, -49.8, 3.3, -22.8, -31.7, -77.1, -58.7, -56.1, -56.5, -78.5, -46.1, -24.2, -58.7, -38.6, -52.6 kJ per mole of atoms.
In order of appearance, V = 96.4, 143.1, 245.2, 87.9, 106.4, 479.0, 650.1, 380.9, 268.0, 310.5, 226.4, 397.0, 202.0, 363.9, 78.4, 92.5, 390.4, 149.2, 239.3, 103.3 Å³/cell.